Density functional theory data (PBE) for crystalline Dy5SnTe5 at its relaxed geometry.

Calculated values
- total magnetization (μB per cell) = 0.000
- energy relative to the elements, uncorrected (eV/f.u.) = -14.206

Lattice parameters (Å, degrees): 13.791 6.171 8.696 90.00 108.37 90.00
Space group C2/m (No. 12)
One atom of each set of equivalent atoms:
Dy: 0.000 0.000 0.000 x2
Dy: 0.162 0.500 0.330 x4
Dy: 0.162 0.500 0.832 x4
Sn: 0.000 0.500 0.000 x2
Te: 0.000 0.500 0.500 x2
Te: 0.166 0.000 0.830 x4
Te: 0.167 0.000 0.337 x4



Density functional theory data (PBE) for crystalline Li2PHPd at its relaxed geometry.

Calculated values
- total magnetization (μB per cell) = 0.000
- electronic total energy (eV/atom) = -4.03

Lattice parameters (Å, degrees): 3.792 3.792 3.787 90.00 90.00 90.00
Space group P4/mmm (No. 123)
One atom of each set of equivalent atoms:
Li: 0.000 0.500 0.000 x2
P: 0.000 0.000 0.500 x1
H: 0.500 0.500 0.000 x1
Pd: 0.500 0.500 0.500 x1



Density functional theory data (PBE) for crystalline Sm2YPaSb5 at its relaxed geometry.

Calculated values
- total magnetization (μB per cell) = 0.000
- energy relative to the elements, uncorrected (eV/f.u.) = -1.430

Lattice parameters (Å, degrees): 5.473 5.473 11.607 90.00 90.00 90.00
Space group P4/mmm (No. 123)
One atom of each set of equivalent atoms:
Sm: 0.000 0.000 0.226 x2
Y: 0.500 0.500 0.500 x1
Pa: 0.500 0.500 0.000 x1
Sb: 0.000 0.000 0.500 x1
Sb: 0.000 0.500 0.000 x2
Sb: 0.500 0.500 0.254 x2



Density functional theory data (PBE) for crystalline LiDyTh2Te5 at its relaxed geometry.

Calculated values
- total magnetization (μB per cell) = 0.000
- energy relative to the elements, uncorrected (eV/f.u.) = -10.174

Lattice parameters (Å, degrees): 4.294 18.687 13.317 90.00 90.00 90.00
Space group Cmc2_1 (No. 36)
One atom of each set of equivalent atoms:
Li: 0.000 0.062 0.000 x4
Dy: 0.000 0.300 0.545 x4
Th: 0.000 0.370 0.839 x4
Th: 0.000 0.394 0.218 x4
Te: 0.000 0.001 0.325 x4
Te: 0.000 0.135 0.536 x4
Te: 0.000 0.190 0.880 x4
Te: 0.000 0.218 0.205 x4
Te: 0.000 0.451 0.612 x4



Density functional theory data (PBE) for crystalline MnRe2Rh at its relaxed geometry.

Calculated values
- total magnetization (μB per cell) = 3.377
- energy of formation from the pure elements (eV/atom) = 0.01

Lattice parameters (Å, degrees): 8.926 2.694 4.734 90.00 99.47 90.00
Space group Cm (No. 8)
One atom of each set of equivalent atoms:
Mn: 0.000 0.000 0.000 x2
Re: 0.244 0.500 0.241 x2
Re: 0.499 0.000 0.501 x2
Rh: 0.246 0.000 0.751 x2



Density functional theory data (PBE) for crystalline Mg2FeW at its relaxed geometry.

Calculated values
- total magnetization (μB per cell) = 0.000
- energy of formation from the pure elements (eV/atom) = 0.39

Lattice parameters (Å, degrees): 6.206 6.206 6.206 90.00 90.00 90.00
Space group F-43m (No. 216)
One atom of each set of equivalent atoms:
Mg: 0.000 0.000 0.000 x4
Mg: 0.250 0.250 0.250 x4
Fe: 0.250 0.250 0.750 x4
W: 0.000 0.000 0.500 x4



Density functional theory data (PBE) for crystalline Ho12GaNi6 at its relaxed geometry.

Calculated values
- total magnetization (μB per cell) = 0.000
- energy of formation from the pure elements (eV/atom) = -0.24

Lattice parameters (Å, degrees): 13.5790 13.5790 8.6805 90.00 90.00 120.00
Space group R-3 (No. 148, hexagonal axes)
One atom of each set of equivalent atoms:
Ho: 0.0384 0.7860 0.4281 x18
Ho: 0.0593 0.8792 0.8308 x18
Ga: 0.0000 0.0000 0.5000 x3
Ni: 0.0719 0.5716 0.7855 x18



Density functional theory data (PBE) for crystalline CeErH4 at its relaxed geometry.

Calculated values
- total magnetization (μB per cell) = 0.841
- electronic total energy (eV/atom) = -4.61

Lattice parameters (Å, degrees): 3.699 3.699 5.369 90.00 90.00 90.00
Space group P4/mmm (No. 123)
One atom of each set of equivalent atoms:
Ce: 0.000 0.000 0.000 x1
Er: 0.500 0.500 0.500 x1
H: 0.000 0.500 0.268 x4



Density functional theory data (PBE) for crystalline Li5Y4Au6 at its relaxed geometry.

Calculated values
- total magnetization (μB per cell) = 0.000
- energy of formation from the pure elements (eV/atom) = -0.60

Lattice parameters (Å, degrees): 4.103 21.303 14.770 90.00 90.00 90.00
Space group Cmc2_1 (No. 36)
One atom of each set of equivalent atoms:
Li: 0.000 0.051 0.000 x4
Li: 0.000 0.150 0.316 x4
Li: 0.000 0.173 0.596 x4
Li: 0.000 0.189 0.944 x4
Li: 0.000 0.327 0.959 x4
Y: 0.000 0.321 0.271 x4
Y: 0.000 0.354 0.627 x4
Y: 0.000 0.459 0.110 x4
Y: 0.000 0.480 0.843 x4
Au: 0.000 0.053 0.193 x4
Au: 0.000 0.078 0.755 x4
Au: 0.000 0.079 0.468 x4
Au: 0.000 0.247 0.103 x4
Au: 0.000 0.276 0.795 x4
Au: 0.000 0.395 0.436 x4



Density functional theory data (PBE) for crystalline Rb2PtWI6 at its relaxed geometry.

Calculated values
- total magnetization (μB per cell) = 5.304
- energy relative to the elements, uncorrected (eV/f.u.) = -3.620

Lattice parameters (Å, degrees): 7.891 7.891 12.486 90.00 90.00 90.00
Space group I4/mmm (No. 139)
One atom of each set of equivalent atoms:
Rb: 0.000 0.500 0.250 x4
Pt: 0.000 0.000 0.000 x2
W: 0.000 0.000 0.500 x2
I: 0.000 0.000 0.275 x4
I: 0.246 0.246 0.000 x8



Density functional theory data (PBE) for crystalline YFe3Cu at its relaxed geometry.

Calculated values
- total magnetization (μB per cell) = 7.931
- energy of formation from the pure elements (eV/atom) = 0.70

Lattice parameters (Å, degrees): 4.481 4.481 4.481 90.00 90.00 90.00
Space group Pm-3m (No. 221)
One atom of each set of equivalent atoms:
Y: 0.000 0.000 0.000 x1
Fe: 0.000 0.500 0.500 x3
Cu: 0.500 0.500 0.500 x1



Density functional theory data (PBE) for crystalline YTi2Os2 at its relaxed geometry.

Calculated values
- total magnetization (μB per cell) = 0.000
- energy of formation from the pure elements (eV/atom) = -0.20

Lattice parameters (Å, degrees): 7.717 7.717 2.937 90.00 90.00 90.00
Space group P4/mbm (No. 127)
One atom of each set of equivalent atoms:
Y: 0.000 0.000 0.000 x2
Ti: 0.136 0.364 0.000 x4
Os: 0.154 0.654 0.500 x4



Please write out number 8 again, unchanged.
Density functional theory data (PBE) for crystalline CeErH4 at its relaxed geometry.

Calculated values
- total magnetization (μB per cell) = 0.841
- electronic total energy (eV/atom) = -4.61

Lattice parameters (Å, degrees): 3.699 3.699 5.369 90.00 90.00 90.00
Space group P4/mmm (No. 123)
One atom of each set of equivalent atoms:
Ce: 0.000 0.000 0.000 x1
Er: 0.500 0.500 0.500 x1
H: 0.000 0.500 0.268 x4



Which of these has the highest total magnetization? YFe3Cu



The highest total magnetization belongs to which entry? YFe3Cu